This record from Alexandria via LeMat-Bulk describes LaPW2 after structural relaxation. The functional is PBE.

Excess energy over the best structure of this formula in the dataset (meV per atom): 1003
E_form (eV/f.u.): 3.743
E_tot (eV per cell): -65.002
Calculated volume (Å³/atom): 19.313
Calculated density (g cm⁻³): 11.6

Lattice parameters (Å, degrees): 5.6236 9.8132 2.7996 90.00 90.00 90.00
With the nearest neighbours (Å) after each atom.
Space group Cmmm (No. 65)
One atom of each set of equivalent atoms:
1 La 0.0000 0.0000 0.0000 [2 per cell]  2 La 2.80, 2 P 2.81
2 P 0.0000 0.5000 0.0000 [2 per cell]  2 P 2.80, 2 La 2.81
3 W 0.2500 0.2500 0.5000 [4 per cell]  4 W 2.80-2.81